(1)
! Pm2Al2CdNi5, optimized geometry, DFT PBE-GGA; values from VASP
! density: 7.4 g/cm3
! uncorrected energy: -98.80 eV for the cell shown
! energy of formation from the pure elements: -2.59 eV per formula unit
&SYSTEM
  ibrav = 0, nat = 20, ntyp = 4
/
ATOMIC_SPECIES
Pm 145.00 Pm.upf
Al 26.98 Al.upf
Cd 112.41 Cd.upf
Ni 58.69 Ni.upf
ATOMIC_POSITIONS crystal
Pm 0.184 0.316 0.000
Pm 0.316 0.816 0.000
Pm 0.684 0.184 0.000
Pm 0.816 0.684 0.000
Al 0.111 0.611 0.000
Al 0.389 0.111 0.000
Al 0.611 0.889 0.000
Al 0.889 0.389 0.000
Cd 0.000 0.000 0.000
Cd 0.500 0.500 0.000
Ni 0.000 0.500 0.500
Ni 0.061 0.774 0.500
Ni 0.226 0.061 0.500
Ni 0.274 0.561 0.500
Ni 0.439 0.274 0.500
Ni 0.500 0.000 0.500
Ni 0.561 0.726 0.500
Ni 0.726 0.439 0.500
Ni 0.774 0.939 0.500
Ni 0.939 0.226 0.500
CELL_PARAMETERS angstrom
9.771 0.000 0.000
0.000 9.771 0.000
0.000 0.000 3.546

***

(2)
! AlCdNi2Pt, optimized geometry, DFT PBE-GGA; values from VASP
! density: 7.6 g/cm3
! uncorrected energy: -16.00 eV for the cell shown
! energy of formation from the pure elements: 6.26 eV per formula unit
&SYSTEM
  ibrav = 0, nat = 5, ntyp = 4
/
ATOMIC_SPECIES
Al 26.98 Al.upf
Cd 112.41 Cd.upf
Ni 58.69 Ni.upf
Pt 195.08 Pt.upf
ATOMIC_POSITIONS crystal
Al 0.000 0.000 0.000
Cd 0.000 0.000 0.500
Ni 0.000 0.500 0.500
Ni 0.500 0.000 0.500
Pt 0.500 0.500 0.000
CELL_PARAMETERS angstrom
4.563 0.000 0.000
0.000 4.563 0.000
0.000 0.000 4.711

***

(3)
! RbAlCdNi2, optimized geometry, DFT PBE-GGA; values from VASP
! density: 3.9 g/cm3
! uncorrected energy: -11.20 eV for the cell shown
! energy of formation from the pure elements: 5.99 eV per formula unit
&SYSTEM
  ibrav = 0, nat = 5, ntyp = 4
/
ATOMIC_SPECIES
Rb 85.47 Rb.upf
Al 26.98 Al.upf
Cd 112.41 Cd.upf
Ni 58.69 Ni.upf
ATOMIC_POSITIONS crystal
Rb 0.000 0.000 0.000
Al 0.500 0.500 0.000
Cd 0.000 0.000 0.500
Ni 0.000 0.500 0.500
Ni 0.500 0.000 0.500
CELL_PARAMETERS angstrom
4.954 0.000 0.000
0.000 4.954 0.000
0.000 0.000 5.898

***

(4)
! ScAlCdNi, optimized geometry, DFT PBE-GGA; values from VASP
! density: 6.0 g/cm3
! uncorrected energy: -18.02 eV for the cell shown
! energy of formation from the pure elements: -1.25 eV per formula unit
&SYSTEM
  ibrav = 0, nat = 4, ntyp = 4
/
ATOMIC_SPECIES
Sc 44.96 Sc.upf
Al 26.98 Al.upf
Cd 112.41 Cd.upf
Ni 58.69 Ni.upf
ATOMIC_POSITIONS crystal
Sc 0.000 0.000 0.000
Al 0.500 0.500 0.500
Cd 0.750 0.750 0.750
Ni 0.250 0.250 0.250
CELL_PARAMETERS angstrom
0.000 3.226 3.226
3.226 0.000 3.226
3.226 3.226 0.000

***

(5)
! Sm2Al2CdNi5, optimized geometry, DFT PBE-GGA; values from VASP
! density: 7.5 g/cm3
! uncorrected energy: -98.89 eV for the cell shown
! energy of formation from the pure elements: -2.70 eV per formula unit
&SYSTEM
  ibrav = 0, nat = 20, ntyp = 4
/
ATOMIC_SPECIES
Sm 150.36 Sm.upf
Al 26.98 Al.upf
Cd 112.41 Cd.upf
Ni 58.69 Ni.upf
ATOMIC_POSITIONS crystal
Sm 0.184 0.316 0.000
Sm 0.316 0.816 0.000
Sm 0.684 0.184 0.000
Sm 0.816 0.684 0.000
Al 0.111 0.611 0.000
Al 0.389 0.111 0.000
Al 0.611 0.889 0.000
Al 0.889 0.389 0.000
Cd 0.000 0.000 0.000
Cd 0.500 0.500 0.000
Ni 0.000 0.500 0.500
Ni 0.061 0.775 0.500
Ni 0.225 0.061 0.500
Ni 0.275 0.561 0.500
Ni 0.439 0.275 0.500
Ni 0.500 0.000 0.500
Ni 0.561 0.725 0.500
Ni 0.725 0.439 0.500
Ni 0.775 0.939 0.500
Ni 0.939 0.225 0.500
CELL_PARAMETERS angstrom
9.734 0.000 0.000
0.000 9.734 0.000
0.000 0.000 3.544

***

(6)
! AlCd2NiSn, optimized geometry, DFT PBE-GGA; values from VASP
! density: 6.0 g/cm3
! uncorrected energy: -12.97 eV for the cell shown
! energy of formation from the pure elements: 2.39 eV per formula unit
&SYSTEM
  ibrav = 0, nat = 5, ntyp = 4
/
ATOMIC_SPECIES
Al 26.98 Al.upf
Cd 112.41 Cd.upf
Ni 58.69 Ni.upf
Sn 118.71 Sn.upf
ATOMIC_POSITIONS crystal
Al 0.000 0.000 0.000
Cd 0.000 0.500 0.000
Cd 0.500 0.000 0.000
Ni 0.000 0.000 0.500
Sn 0.500 0.500 0.500
CELL_PARAMETERS angstrom
5.136 0.000 0.000
0.000 5.136 0.000
0.000 0.000 4.518

***

(7)
! AlCdNiSn2, optimized geometry, DFT PBE-GGA; values from VASP
! density: 5.7 g/cm3
! uncorrected energy: -15.95 eV for the cell shown
! distance to the lowest polymorph of the same formula: 0.0 meV/atom
! energy of formation from the pure elements: 2.49 eV per formula unit
&SYSTEM
  ibrav = 0, nat = 5, ntyp = 4
/
ATOMIC_SPECIES
Al 26.98 Al.upf
Cd 112.41 Cd.upf
Ni 58.69 Ni.upf
Sn 118.71 Sn.upf
ATOMIC_POSITIONS crystal
Al 0.000 0.000 0.000
Cd 0.500 0.500 0.500
Ni 0.000 0.000 0.500
Sn 0.000 0.500 0.000
Sn 0.500 0.000 0.000
CELL_PARAMETERS angstrom
5.329 0.000 0.000
0.000 5.329 0.000
0.000 0.000 4.480

***

(8)
! AlCdNiSn2, optimized geometry, DFT PBE-GGA; values from VASP
! density: 4.9 g/cm3
! uncorrected energy: -12.98 eV for the cell shown
! distance to the lowest polymorph of the same formula: 594.6 meV/atom
! energy of formation from the pure elements: 5.46 eV per formula unit
&SYSTEM
  ibrav = 0, nat = 5, ntyp = 4
/
ATOMIC_SPECIES
Al 26.98 Al.upf
Cd 112.41 Cd.upf
Ni 58.69 Ni.upf
Sn 118.71 Sn.upf
ATOMIC_POSITIONS crystal
Al 0.000 0.000 0.000
Cd 0.000 0.000 0.500
Ni 0.500 0.500 0.000
Sn 0.000 0.500 0.500
Sn 0.500 0.000 0.500
CELL_PARAMETERS angstrom
5.479 0.000 0.000
0.000 5.479 0.000
0.000 0.000 4.923

***

(9)
! AlCdTc2Ni, optimized geometry, DFT PBE-GGA; values from VASP
! density: 6.9 g/cm3
! uncorrected energy: -25.51 eV for the cell shown
! energy of formation from the pure elements: 5.66 eV per formula unit
&SYSTEM
  ibrav = 0, nat = 5, ntyp = 4
/
ATOMIC_SPECIES
Al 26.98 Al.upf
Cd 112.41 Cd.upf
Tc 98.00 Tc.upf
Ni 58.69 Ni.upf
ATOMIC_POSITIONS crystal
Al 0.000 0.000 0.000
Cd 0.500 0.500 0.000
Tc 0.000 0.500 0.500
Tc 0.500 0.000 0.500
Ni 0.500 0.500 0.500
CELL_PARAMETERS angstrom
4.516 0.000 0.000
0.000 4.516 0.000
0.000 0.000 4.671

***

(10)
! Tm2Al2CdNi5, optimized geometry, DFT PBE-GGA; values from VASP
! density: 8.3 g/cm3
! uncorrected energy: -99.32 eV for the cell shown
! energy of formation from the pure elements: -3.41 eV per formula unit
&SYSTEM
  ibrav = 0, nat = 20, ntyp = 4
/
ATOMIC_SPECIES
Tm 168.93 Tm.upf
Al 26.98 Al.upf
Cd 112.41 Cd.upf
Ni 58.69 Ni.upf
ATOMIC_POSITIONS crystal
Tm 0.182 0.318 0.000
Tm 0.318 0.818 0.000
Tm 0.682 0.182 0.000
Tm 0.818 0.682 0.000
Al 0.113 0.613 0.000
Al 0.387 0.113 0.000
Al 0.613 0.887 0.000
Al 0.887 0.387 0.000
Cd 0.000 0.000 0.000
Cd 0.500 0.500 0.000
Ni 0.000 0.500 0.500
Ni 0.062 0.780 0.500
Ni 0.220 0.062 0.500
Ni 0.280 0.562 0.500
Ni 0.438 0.280 0.500
Ni 0.500 0.000 0.500
Ni 0.562 0.720 0.500
Ni 0.720 0.438 0.500
Ni 0.780 0.938 0.500
Ni 0.938 0.220 0.500
CELL_PARAMETERS angstrom
9.501 0.000 0.000
0.000 9.501 0.000
0.000 0.000 3.523

***

(11)
! AlZnCdNi2, optimized geometry, DFT PBE-GGA; values from VASP
! density: 6.4 g/cm3
! uncorrected energy: -14.87 eV for the cell shown
! energy of formation from the pure elements: 2.62 eV per formula unit
&SYSTEM
  ibrav = 0, nat = 5, ntyp = 4
/
ATOMIC_SPECIES
Al 26.98 Al.upf
Zn 65.41 Zn.upf
Cd 112.41 Cd.upf
Ni 58.69 Ni.upf
ATOMIC_POSITIONS crystal
Al 0.000 0.000 0.000
Zn 0.000 0.000 0.500
Cd 0.500 0.500 0.500
Ni 0.000 0.500 0.000
Ni 0.500 0.000 0.000
CELL_PARAMETERS angstrom
4.306 0.000 0.000
0.000 4.306 0.000
0.000 0.000 4.515

***

(12)
! AlZnCd2Ni, optimized geometry, DFT PBE-GGA; values from VASP
! density: 5.3 g/cm3
! uncorrected energy: -9.63 eV for the cell shown
! energy of formation from the pure elements: 3.00 eV per formula unit
&SYSTEM
  ibrav = 0, nat = 5, ntyp = 4
/
ATOMIC_SPECIES
Al 26.98 Al.upf
Zn 65.41 Zn.upf
Cd 112.41 Cd.upf
Ni 58.69 Ni.upf
ATOMIC_POSITIONS crystal
Al 0.000 0.000 0.000
Zn 0.500 0.500 0.500
Cd 0.000 0.500 0.000
Cd 0.500 0.000 0.000
Ni 0.000 0.000 0.500
CELL_PARAMETERS angstrom
5.159 0.000 0.000
0.000 5.159 0.000
0.000 0.000 4.457